Compound: MgZrPt2
Source: the Alexandria database
Functional: PBE-GGA
Structure: relaxed

Calculated values
- calculated total energy (eV/cell) = -25.2
- energy relative to the elements (eV per atom) = -0.75
- N(E_F) (states/eV/atom) = 0.70
- total moment (μB/cell) = 0.0

abc: 3.6372 3.6372 5.6111
angles: 90.00 90.00 89.99
With the nearest neighbours (Å) after each atom.
Element x y z (fractional)
Pt 0.5000 0.5000 0.2861  2 Mg 2.72-2.89, 4 Zr 2.75
Pt 0.0000 0.0000 0.9513  4 Mg 2.71, 2 Zr 2.75-2.86
Mg 0.5000 0.5000 0.8016  6 Pt 2.71-2.89
Zr 0.0000 0.0000 0.4610  6 Pt 2.75-2.86

Compound: ZrSc4In2
Source: the Alexandria database
Functional: PBE-GGA
Structure: relaxed

Calculated values
- calculated total energy (eV/cell) = -82.1
- ΔE to the lowest computed polymorph (meV per atom) = 0
- energy relative to the elements (eV per atom) = -0.24
- N(E_F) (states/eV/atom) = 0.97
- total moment (μB/cell) = 0.0

abc: 6.0978 8.7313 7.8505
angles: 70.60 79.63 116.13
With the nearest neighbours (Å) after each atom.
Element x y z (fractional)
Sc 0.8397 0.7398 0.4086  5 In 3.04-3.25, 3 Sc 3.18-3.35, 2 Zr 3.26-3.34
Sc 0.5608 0.8940 0.6924  3 In 3.00-3.08, 4 Sc 3.05-3.35, 1 Zr 3.15
Sc 0.9867 0.8212 0.7709  2 In 2.99-3.28, 2 Zr 3.02-3.27, 5 Sc 3.05-3.33
Sc 0.0133 0.1788 0.2291  2 In 2.99-3.28, 2 Zr 3.02-3.27, 5 Sc 3.05-3.33
Sc 0.1452 0.6007 0.1297  5 In 3.05-3.38, 4 Sc 3.17-3.40, 2 Zr 3.23-3.25
Sc 0.4392 0.1060 0.3076  3 In 3.00-3.08, 4 Sc 3.05-3.35, 1 Zr 3.15
Sc 0.8548 0.3993 0.8703  5 In 3.05-3.38, 4 Sc 3.17-3.40, 2 Zr 3.23-3.25
Sc 0.1603 0.2602 0.5914  5 In 3.04-3.25, 3 Sc 3.18-3.35, 2 Zr 3.26-3.34
In 0.2928 0.6954 0.4653  7 Sc 3.00-3.25, 1 Zr 3.13, 1 In 3.26
In 0.4147 0.4774 0.8259  7 Sc 2.99-3.28, 2 In 3.18-3.26, 1 Zr 3.26
In 0.5853 0.5226 0.1741  7 Sc 2.99-3.28, 2 In 3.18-3.26, 1 Zr 3.26
In 0.7072 0.3046 0.5347  7 Sc 3.00-3.25, 1 Zr 3.13, 1 In 3.26
Zr 0.2841 0.0405 0.9645  7 Sc 3.02-3.34, 2 Zr 3.11, 2 In 3.13-3.26
Zr 0.7159 0.9595 0.0355  7 Sc 3.02-3.34, 2 Zr 3.11, 2 In 3.13-3.26

Compound: Ca4Dy3YTe8
Source: the Alexandria database
Functional: PBE-GGA
Structure: relaxed

Calculated values
- raw formation energy (eV per atom) = -1.457
- calculated total energy (eV/cell) = -76.7
- N(E_F) (states/eV/atom) = 0.38
- total moment (μB/cell) = 0.0

abc: 8.7813 8.9156 8.7815
angles: 119.51 120.00 90.00
With the nearest neighbours (Å) after each atom.
Element x y z (fractional)
Te 0.7514 0.2548 0.0034  2 Dy 3.11, 1 Y 3.11, 3 Ca 3.15
Te 0.7480 0.7452 0.9966  2 Dy 3.11, 1 Y 3.11, 3 Ca 3.15
Te 0.2520 0.2548 0.0034  2 Dy 3.11, 1 Y 3.11, 3 Ca 3.15
Te 0.7513 0.2548 0.5026  2 Dy 3.11, 1 Y 3.11, 3 Ca 3.15
Te 0.2486 0.7452 0.9966  2 Dy 3.11, 1 Y 3.11, 3 Ca 3.15
Te 0.2517 0.2551 0.5034  3 Dy 3.11, 3 Ca 3.15
Te 0.7483 0.7449 0.4966  3 Dy 3.11, 3 Ca 3.15
Te 0.2487 0.7452 0.4974  2 Dy 3.11, 1 Y 3.11, 3 Ca 3.15
Y 0.0000 0.5000 0.0000  6 Te 3.11
Ca 0.0000 0.0000 0.0000  6 Te 3.15
Ca 0.0000 0.0000 0.5000  6 Te 3.15
Ca 0.5000 0.0000 0.5000  6 Te 3.15
Ca 0.5000 0.0000 0.0000  6 Te 3.15
Dy 0.0000 0.5000 0.5000  6 Te 3.11
Dy 0.5000 0.5000 0.5000  6 Te 3.11
Dy 0.5000 0.5000 0.0000  6 Te 3.11

Compound: LiNdYGe
Source: the Alexandria database
Functional: PBE-GGA
Structure: relaxed

Calculated values
- calculated total energy (eV/cell) = -19.5
- energy relative to the elements (eV per atom) = -0.43
- N(E_F) (states/eV/atom) = 0.57
- total moment (μB/cell) = 0.0

abc: 5.1150 5.1150 5.1150
angles: 60.00 60.00 60.00
With the nearest neighbours (Å) after each atom.
Element x y z (fractional)
Li 0.7500 0.7500 0.7500  4 Y 3.13, 4 Nd 3.13
Ge 0.2500 0.2500 0.2500  4 Nd 3.13, 4 Y 3.13
Y 0.5000 0.5000 0.5000  4 Ge 3.13, 4 Li 3.13
Nd 0.0000 0.0000 0.0000  4 Li 3.13, 4 Ge 3.13

Compound: BaIr2W
Source: the Alexandria database
Functional: PBE-GGA
Structure: relaxed

Calculated values
- calculated total energy (eV/cell) = -28.0
- ΔE to the lowest computed polymorph (meV per atom) = 1072
- energy relative to the elements (eV per atom) = 1.15
- N(E_F) (states/eV/atom) = 1.61
- total moment (μB/cell) = 0.0

abc: 4.7366 4.7366 4.7366
angles: 60.00 60.00 60.00
With the nearest neighbours (Å) after each atom.
Element x y z (fractional)
W 0.7500 0.7500 0.7500  4 Ir 2.90, 4 Ba 2.90
Ba 0.5000 0.5000 0.5000  4 W 2.90, 4 Ir 2.90
Ir 0.0000 0.0000 0.0000  4 Ir 2.90, 4 W 2.90
Ir 0.2500 0.2500 0.2500  4 Ba 2.90, 4 Ir 2.90

Compound: BaInSnSb2
Source: the Alexandria database
Functional: PBE-GGA
Structure: relaxed

Calculated values
- raw formation energy (eV per atom) = -0.373
- calculated total energy (eV/cell) = -37.5
- N(E_F) (states/eV/atom) = 0.20
- total moment (μB/cell) = 0.0

abc: 4.6787 10.7876 8.6918
angles: 89.87 74.39 77.48
With the nearest neighbours (Å) after each atom.
Element x y z (fractional)
Sb 0.4097 0.8120 0.3685  1 In 2.95, 2 Sn 3.00
Sb 0.2010 0.6812 0.9168  3 In 2.99-3.02, 1 Sn 3.06
Sb 0.7990 0.3188 0.0832  3 In 2.99-3.02, 1 Sn 3.06
Sb 0.5903 0.1880 0.6315  1 In 2.95, 2 Sn 3.00
In 0.6404 0.6061 0.1131  4 Sb 2.95-3.02
In 0.3596 0.3939 0.8869  4 Sb 2.95-3.02
Ba 0.7366 0.8432 0.6836  5 Sb 3.53-3.68, 2 Sn 3.73
Ba 0.2634 0.1568 0.3164  5 Sb 3.53-3.68, 2 Sn 3.73
Sn 0.0374 0.1024 0.8227  3 Sb 3.00-3.06
Sn 0.9626 0.8976 0.1773  3 Sb 3.00-3.06

Compound: La4TlGa2
Source: the Alexandria database
Functional: PBE-GGA
Structure: relaxed

Calculated values
- calculated total energy (eV/cell) = -30.1
- ΔE to the lowest computed polymorph (meV per atom) = 107
- energy relative to the elements (eV per atom) = -0.28
- N(E_F) (states/eV/atom) = 0.98
- total moment (μB/cell) = 0.0

abc: 5.3637 5.3637 9.6155
angles: 73.81 73.81 60.00
With the nearest neighbours (Å) after each atom.
Element x y z (fractional)
La 0.2105 0.2105 0.3685  4 Ga 3.00-3.16
La 0.7895 0.7895 0.6315  4 Ga 3.00-3.16
La 0.3821 0.3821 0.8538  3 Tl 3.37, 3 Ga 3.40, 3 La 3.70
La 0.6179 0.6179 0.1462  3 Tl 3.37, 3 Ga 3.40, 3 La 3.70
Ga 0.1005 0.1005 0.6984  1 Tl 2.75, 1 La 3.00
Ga 0.8995 0.8995 0.3016  1 Tl 2.75, 1 La 3.00
Tl 0.0000 0.0000 0.0000  2 Ga 2.75

Compound: ZrTePt
Source: the Alexandria database
Functional: PBE-GGA
Structure: relaxed

Calculated values
- raw formation energy (eV per atom) = -0.623
- calculated total energy (eV/cell) = -19.6
- ΔE to the lowest computed polymorph (meV per atom) = 135
- N(E_F) (states/eV/atom) = 0.46
- total moment (μB/cell) = 0.0

abc: 5.6069 5.6072 3.5737
angles: 71.41 71.42 37.17
With the nearest neighbours (Å) after each atom.
Element x y z (fractional)
Te 0.3340 0.3340 0.6660  5 Pt 3.12-3.17, 5 Zr 3.14-3.15
Zr 0.6483 0.6483 0.3517  4 Pt 2.85, 5 Te 3.14-3.15
Pt 0.0177 0.0177 0.9823  4 Zr 2.85, 5 Te 3.12-3.17

Compound: CaSc2Co2
Source: the Alexandria database
Functional: PBE-GGA
Structure: relaxed

Calculated values
- calculated total energy (eV/cell) = -28.2
- ΔE to the lowest computed polymorph (meV per atom) = 213
- energy relative to the elements (eV per atom) = 0.14
- N(E_F) (states/eV/atom) = 0.34
- total moment (μB/cell) = 0.0

abc: 4.5440 4.5440 6.0348
angles: 67.88 67.88 90.00
With the nearest neighbours (Å) after each atom.
Element x y z (fractional)
Ca 0.0000 0.0000 0.0000  8 Co 3.42, 10 Sc 3.47-3.61
Sc 0.3397 0.3397 0.3205  4 Co 2.45
Sc 0.6603 0.6603 0.6795  4 Co 2.45
Co 0.2500 0.7500 0.5000  4 Sc 2.45
Co 0.7500 0.2500 0.5000  4 Sc 2.45

Compound: BaTl2Cd2Bi2
Source: the Alexandria database
Functional: PBE-GGA
Structure: relaxed

Calculated values
- calculated total energy (eV/cell) = -17.9
- energy relative to the elements (eV per atom) = -0.23
- N(E_F) (states/eV/atom) = 0.26
- total moment (μB/cell) = 0.0

abc: 5.0883 5.0883 10.9721
angles: 76.59 76.59 60.00
With the nearest neighbours (Å) after each atom.
Element x y z (fractional)
Bi 0.7340 0.7340 0.7981  3 Cd 3.08
Bi 0.2660 0.2660 0.2019  3 Cd 3.08
Cd 0.4296 0.4296 0.7113  3 Bi 3.08, 3 Tl 3.30
Cd 0.5704 0.5704 0.2887  3 Bi 3.08, 3 Tl 3.30
Ba 0.0000 0.0000 0.0000  6 Bi 3.63
Tl 0.8565 0.8565 0.4304  3 Tl 3.29, 3 Cd 3.30
Tl 0.1435 0.1435 0.5696  3 Tl 3.29, 3 Cd 3.30

Compound: MnCuWCl2
Source: the Alexandria database
Functional: PBE-GGA
Structure: relaxed

Calculated values
- raw formation energy (eV per atom) = 1.781
- calculated total energy (eV/cell) = -21.0
- N(E_F) (states/eV/atom) = 1.25
- total moment (μB/cell) = 0.6

abc: 4.2295 5.1353 4.2295
angles: 90.00 90.00 90.00
With the nearest neighbours (Å) after each atom.
Element x y z (fractional)
Mn 0.0000 0.5000 0.0000  2 Cu 2.57
Cu 0.0000 0.0000 0.0000  4 Cl 2.11
W 0.5000 0.5000 0.5000  4 Mn 2.99, 8 Cl 3.33
Cl 0.5000 0.0000 0.0000  2 Cu 2.11
Cl 0.0000 0.0000 0.5000  2 Cu 2.11

Compound: Ti2InTcH
Source: the Alexandria database
Functional: PBE-GGA
Structure: relaxed

Calculated values
- calculated total energy (eV/cell) = -33.5
- N(E_F) (states/eV/atom) = 0.89
- total moment (μB/cell) = 0.0

abc: 4.2394 4.2394 3.8444
angles: 90.00 90.00 90.00
With the nearest neighbours (Å) after each atom.
Element x y z (fractional)
In 0.5000 0.5000 0.5000  8 Ti 2.86, 4 Tc 3.00
Tc 0.0000 0.0000 0.5000  2 H 1.92
Ti 0.5000 0.0000 0.0000  2 H 2.12
Ti 0.0000 0.5000 0.0000  2 H 2.12
H 0.0000 0.0000 0.0000  2 Tc 1.92, 4 Ti 2.12